This record from Alexandria describes Li4Mn3WO8 after structural relaxation. The functional is GGA+U.

Computed properties:
total magnetization: 15.00 μB per formula unit
space group: R-3m
electronic total energy: -6.6721 eV per atom
crystal system: trigonal
theoretical density: 5.0 g cm⁻³

POSCAR file:
```
Li4Mn3WO8
1.0
6.093 -0.005 -0.004
2.841 5.389 -0.004
2.841 1.712 5.110
Mn Li O W
3 4 8 1
Direct
0.500 0.500 0.000 Mn
0.000 0.500 0.500 Mn
0.500 0.000 0.500 Mn
0.000 0.000 0.500 Li
0.500 0.500 0.500 Li
0.000 0.500 0.000 Li
0.500 0.000 0.000 Li
0.739 0.739 0.739 O
0.226 0.226 0.783 O
0.774 0.774 0.217 O
0.261 0.261 0.261 O
0.774 0.217 0.774 O
0.783 0.226 0.226 O
0.217 0.774 0.774 O
0.226 0.783 0.226 O
0.000 0.000 0.000 W
```